1.
## YTiSiIr2 (GGA-PBE)

Data for a relaxed YTiSiIr2 crystal.

a = 4.561 Å, b = 5.221 Å, c = 4.561 Å
α = 90.00°, β = 90.00°, γ = 90.00°
Atoms (fractional coordinates):
Y1 0.000 0.500 0.000
Si1 0.500 0.500 0.500
Ir1 0.500 0.000 0.000
Ir2 0.000 0.000 0.500
Ti1 0.000 0.000 0.000

=====

2.
## Y2TiSi3Ir4 (GGA-PBE)

Data for a relaxed Y2TiSi3Ir4 crystal.

a = 4.071 Å, b = 4.071 Å, c = 10.426 Å
α = 90.00°, β = 90.00°, γ = 90.00°
Atoms (fractional coordinates):
Ir1 0.000 0.000 0.000
Ir2 0.000 0.500 0.357
Ir3 0.500 0.500 0.000
Ir4 0.500 0.000 0.643
Ti1 0.500 0.500 0.500
Si1 0.000 0.000 0.500
Si2 0.500 0.000 0.874
Si3 0.000 0.500 0.126
Y1 0.500 0.000 0.240
Y2 0.000 0.500 0.760

=====

3.
## Tl2SiIr (GGA-PBE)

Data for a relaxed Tl2SiIr crystal.

a = 6.888 Å, b = 6.888 Å, c = 6.888 Å
α = 151.41°, β = 142.04°, γ = 48.20°
Atoms (fractional coordinates):
Ir1 0.449 0.449 0.000
Tl1 0.011 0.011 0.000
Tl2 0.714 0.214 0.500
Si1 0.326 0.826 0.500

=====

In order of appearance, E = -33.54 -82.96 -18.02 eV/cell.
In order of appearance, ΔE_f (raw) = 792.3 -1042.4 248.7 meV per atom.
In order of appearance, DOS(E_F) = 0.807 0.532 0.494 states/eV per atom.